[1]
{"formula": "Sc2HgIr", "functional": "SCAN", "state": "PBEsol geometry", "cell": [[3.1592, 0.0000, 0.0000], [0.0000, 3.2509, 0.0000], [0.0000, 0.0000, 7.2191]], "species": ["Sc", "Sc", "Ir", "Hg"], "frac_coords": [[0.0000, 0.0000, 0.7221], [0.0000, 0.0000, 0.2779], [0.5000, 0.5000, 0.5000], [0.5000, 0.5000, 0.0000]], "magmom_total_mub_per_cell": 0.0, "volume_a3_per_atom": 18.5, "delta_e_f_ev_per_atom": -0.96, "dos_at_fermi_per_ev_cell": 1.78}

***

[2]
{"formula": "Sc2HgIr", "functional": "SCAN", "state": "PBEsol geometry", "cell": [[3.1950, 0.0000, 0.0000], [0.0000, 4.1826, 0.0000], [0.0000, 0.0000, 5.7892]], "species": ["Hg", "Ir", "Sc", "Sc"], "frac_coords": [[0.0000, 0.0000, 0.4693], [0.5000, 0.5000, 0.8197], [0.0000, 0.0000, 0.9438], [0.5000, 0.5000, 0.2672]], "magmom_total_mub_per_cell": 0.0, "volume_a3_per_atom": 19.3, "delta_e_f_ev_per_atom": -0.56, "dos_at_fermi_per_ev_cell": 1.89}

***

[3]
{"formula": "Sc2HgIr", "functional": "SCAN", "state": "PBEsol geometry", "cell": [[-1.8156, -1.5830, 2.1367], [3.4514, -3.2318, 0.5385], [1.8804, 2.5948, 3.5203]], "species": ["Sc", "Sc", "Ir", "Hg"], "frac_coords": [[0.0000, 0.0000, 0.1232], [0.0000, 0.5000, 0.6269], [0.5000, 0.5000, 0.1279], [0.5000, 0.0000, 0.6220]], "magmom_total_mub_per_cell": 0.0, "volume_a3_per_atom": 18.2, "delta_e_f_ev_per_atom": -0.86, "dos_at_fermi_per_ev_cell": 1.76}

***

[4]
{"formula": "Sc2HgIr", "functional": "SCAN", "state": "PBEsol geometry", "cell": [[-2.2705, -0.1241, -3.0657], [3.4321, -0.0472, -2.5399], [-0.5340, -4.3812, 2.9490]], "species": ["Hg", "Ir", "Sc", "Sc"], "frac_coords": [[0.5073, 0.5073, 0.0147], [0.2614, 0.7614, 0.5229], [0.9844, 0.9844, 0.9687], [0.7468, 0.2468, 0.4937]], "magmom_total_mub_per_cell": 0.0, "volume_a3_per_atom": 18.2, "delta_e_f_ev_per_atom": -0.65, "dos_at_fermi_per_ev_cell": 2.31}

***

[5]
{"formula": "ScZnHgIr2", "functional": "SCAN", "state": "PBEsol geometry", "cell": [[4.5728, 0.0000, 0.0000], [0.0000, 4.5728, 0.0000], [0.0000, 0.0000, 4.5811]], "species": ["Sc", "Zn", "Ir", "Ir", "Hg"], "frac_coords": [[0.5000, 0.5000, 0.5000], [0.0000, 0.0000, 0.0000], [0.0000, 0.5000, 0.0000], [0.5000, 0.0000, 0.0000], [0.0000, 0.0000, 0.5000]], "magmom_total_mub_per_cell": 0.0, "volume_a3_per_atom": 19.2, "delta_e_f_ev_per_atom": 0.57, "dos_at_fermi_per_ev_cell": 2.79}

***

[6]
{"formula": "HgIr2Se", "functional": "SCAN", "state": "PBEsol geometry", "cell": [[2.9229, 0.0000, 0.0000], [0.0000, 5.1735, 0.0200], [-1.4614, -0.4677, 5.0377]], "species": ["Hg", "Ir", "Ir", "Se"], "frac_coords": [[0.8105, 0.2852, 0.6210], [0.9213, 0.8041, 0.8425], [0.2047, 0.8439, 0.4094], [0.5635, 0.5668, 0.1270]], "e_form_raw_ev_per_atom": 0.35, "magmom_total_mub_per_cell": 0.0, "volume_a3_per_atom": 19.1, "dos_at_fermi_per_ev_cell": 1.73, "e_above_lowest_polymorph_mev_per_atom": 0.0}